(1)
5
Lattice="-3.389 -3.234 -1.649 1.795 0.468 -4.607 3.156 -3.740 0.849" Properties=species:S:1:pos:R:3 comment="TlSiRu3 | Alexandria | PBE | optimized geometry" relative_energy_ev_per_fu=9.43 sg=Pm-3m volume_a3_per_fu=122.5 raw_formation_energy_mev_per_atom=2449 dft_energy_ev_per_atom=-4.6744 pbc="T T T"
Ru 0.897 0.234 -2.304
Ru -1.695 -1.617 -0.825
Ru 1.578 -1.870 0.425
Si 0.781 -3.253 -2.704
Tl 0.000 0.000 0.000


(2)
4
Lattice="-2.816 -0.174 -0.544 1.900 -1.255 -1.753 -0.389 -6.151 3.981" Properties=species:S:1:pos:R:3 comment="FeTcP2 | Alexandria | PBE | optimized geometry" relative_energy_ev_per_fu=2.07 sg=Cmmm delta_e_f_ev_per_atom=0.1088 volume_a3_per_fu=52.3 dft_energy_ev_per_atom=-7.3033 pbc="T T T"
Tc -0.555 -2.252 -0.154
Fe -0.750 -5.328 1.837
P -0.199 -3.156 2.042
P -0.384 -6.071 3.929


(3)
4
Lattice="2.997 0.024 0.000 -1.242 2.728 0.000 0.000 0.000 8.543" Properties=species:S:1:pos:R:3 comment="InMo2As | Alexandria | PBE | optimized geometry" relative_energy_ev_per_fu=1.26 sg=Cmmm delta_e_f_ev_per_atom=0.3482 volume_a3_per_fu=70.1 dft_energy_ev_per_atom=-6.9144 pbc="T T T"
In 0.878 1.376 6.407
Mo 0.000 0.000 4.044
Mo 0.000 0.000 0.228
As 0.878 1.376 2.136


(4)
13
Lattice="7.062 0.000 0.207 0.000 8.334 0.000 -2.622 -4.167 6.746" Properties=species:S:1:pos:R:3 comment="Tb3Pm2Se8 | Alexandria | PBE | optimized geometry" sg=C2/m volume_a3_per_fu=401.5 raw_formation_energy_mev_per_atom=-1725 dft_energy_ev_per_atom=-5.6691 pbc="T T T"
Se 5.866 4.167 1.827
Se 2.278 1.976 1.723
Se 2.161 -2.191 5.230
Se -1.465 4.167 5.193
Se 2.278 6.358 1.723
Se -1.426 0.000 5.125
Se 5.905 0.000 1.759
Se 2.161 2.191 5.230
Pm 3.410 4.167 3.378
Pm 1.030 0.000 3.574
Tb 3.531 0.000 0.103
Tb 0.000 6.155 0.000
Tb 0.000 2.179 0.000